Record 1
Computed, not measured: a geometry-optimized RbPr3Te4 structure at the PBE level of DFT.

The space group is P6_3/mmc (No. 194) and the conventional cell measures 4.5988, 4.5988 and 31.9211 Å, with angles of 90.00, 90.00 and 120.00 degrees. The distinct sites, in fractional coordinates, are Rb at (0.3333, 0.6667, 0.2500), Pr at (0.0000, 0.0000, 0.0000), Pr at (0.3333, 0.6667, 0.6143), Te at (0.0000, 0.0000, 0.1705) and Te at (0.3333, 0.6667, 0.0572).

As for the volume: 584.7 Å³ per cell. The calculation puts the formation energy (no corrections) at -1.424 eV per atom. Its total energy is -4.908 eV/atom. The calculation puts the magnetic moment at 0.0 μB per cell.

Record 2
Computed, not measured: a geometry-optimized Rb2PrTe6 structure at the PBE level of DFT.

The space group is C2/m (No. 12) and the conventional cell measures 20.353, 6.355 and 6.120 Å, with angles of 90.00, 98.10 and 90.00 degrees. The distinct sites, in fractional coordinates, are Rb at (0.182, 0.000, 0.213), Pr at (0.000, 0.500, 0.500), Te at (0.000, 0.265, 0.000) and Te at (0.138, 0.277, 0.694).

As for the volume: 783.6 Å³ per cell. The calculation puts the formation energy (no corrections) at -0.699 eV per atom. Its total energy is -3.539 eV/atom. The calculation puts the magnetic moment at 0.0 μB per cell.

Record 3
Computed, not measured: a geometry-optimized RbPr4Te6 structure at the PBE level of DFT.

The space group is Cmcm (No. 63) and the conventional cell measures 4.591, 15.169 and 24.080 Å, with angles of 90.00, 90.00 and 90.00 degrees. The distinct sites, in fractional coordinates, are Rb at (0.000, 0.161, 0.250), Pr at (0.000, 0.094, 0.630), Pr at (0.000, 0.366, 0.540), Te at (0.000, 0.000, 0.000), Te at (0.000, 0.155, 0.750), Te at (0.000, 0.271, 0.082) and Te at (0.000, 0.458, 0.656).

As for the volume: 1677.0 Å³ per cell. The calculation puts the formation energy (no corrections) at -1.395 eV per atom. Its total energy is -4.935 eV/atom. The calculation puts the magnetic moment at 0.0 μB per cell.

Record 4
Computed, not measured: a geometry-optimized RbPrTe4 structure at the PBE level of DFT.

The space group is P4/nbm (No. 125, origin choice 2) and the conventional cell measures 6.989, 6.989 and 9.348 Å, with angles of 90.00, 90.00 and 90.00 degrees. The distinct sites, in fractional coordinates, are Rb at (0.250, 0.250, 0.000), Pr at (0.250, 0.250, 0.500) and Te at (0.107, 0.607, 0.294).

As for the volume: 456.6 Å³ per cell. The calculation puts the formation energy (no corrections) at -0.964 eV per atom. Its total energy is -4.016 eV/atom. The calculation puts the magnetic moment at 0.0 μB per cell.

Record 5
Computed, not measured: a geometry-optimized Rb3Pr3ThTe8 structure at the PBE level of DFT.

The space group is R-3m (No. 166, hexagonal axes) and the conventional cell measures 9.2548, 9.2548 and 26.1947 Å, with angles of 90.00, 90.00 and 120.00 degrees. The distinct sites, in fractional coordinates, are Rb at (0.0000, 0.5000, 0.0000), Pr at (0.0000, 0.5000, 0.5000), Th at (0.0000, 0.0000, 0.5000), Te at (0.0000, 0.0000, 0.2353) and Te at (0.0053, 0.5026, 0.2339).

As for the volume: 1943.1 Å³ per cell. The calculation puts the formation energy (no corrections) at -1.374 eV per atom. Its total energy is -4.694 eV/atom. The calculation puts the magnetic moment at 0.0 μB per cell.

Record 6
Computed, not measured: a geometry-optimized Rb2PrTh2Te6 structure at the PBE level of DFT.

The space group is C2/m (No. 12) and the conventional cell measures 7.828, 13.605 and 9.235 Å, with angles of 90.00, 106.22 and 90.00 degrees. The distinct sites, in fractional coordinates, are Rb at (0.000, 0.165, 0.000), Pr at (0.000, 0.000, 0.500), Th at (0.000, 0.333, 0.500), Te at (0.225, 0.500, 0.706) and Te at (0.238, 0.169, 0.706).

As for the volume: 944.4 Å³ per cell. The calculation puts the formation energy (no corrections) at -1.276 eV per atom. Its total energy is -4.949 eV/atom. The calculation puts the magnetic moment at 0.0 μB per cell.

Record 7
Computed, not measured: a geometry-optimized Rb4Pr3ThTe8 structure at the PBE level of DFT.

The space group is R-3m (No. 166, hexagonal axes) and the conventional cell measures 9.2667, 9.2667 and 25.8797 Å, with angles of 90.00, 90.00 and 120.00 degrees. The distinct sites, in fractional coordinates, are Rb at (0.0000, 0.0000, 0.0000), Rb at (0.0000, 0.5000, 0.0000), Pr at (0.0000, 0.5000, 0.5000), Th at (0.0000, 0.0000, 0.5000), Te at (0.0000, 0.0000, 0.2363) and Te at (0.0062, 0.5031, 0.2358).

As for the volume: 1924.6 Å³ per cell. The calculation puts the formation energy (no corrections) at -1.352 eV per atom. Its total energy is -4.524 eV/atom. The calculation puts the magnetic moment at 0.0 μB per cell.

Record 8
Computed, not measured: a geometry-optimized Rb4PrTh3Te8 structure at the PBE level of DFT.

The space group is R-3m (No. 166, hexagonal axes) and the conventional cell measures 9.0818, 9.0818 and 26.2728 Å, with angles of 90.00, 90.00 and 120.00 degrees. The distinct sites, in fractional coordinates, are Rb at (0.0000, 0.0000, 0.0000), Rb at (0.0000, 0.5000, 0.0000), Pr at (0.0000, 0.0000, 0.5000), Th at (0.0000, 0.5000, 0.5000), Te at (0.0000, 0.0000, 0.2366) and Te at (0.0044, 0.5022, 0.7633).

As for the volume: 1876.6 Å³ per cell. The calculation puts the formation energy (no corrections) at -1.223 eV per atom. Its total energy is -4.726 eV/atom. The calculation puts the magnetic moment at 0.0 μB per cell.

Record 9
Computed, not measured: a geometry-optimized Rb4Pr3TmTe8 structure at the PBE level of DFT.

The space group is R-3m (No. 166, hexagonal axes) and the conventional cell measures 9.2656, 9.2656 and 25.7128 Å, with angles of 90.00, 90.00 and 120.00 degrees. The distinct sites, in fractional coordinates, are Rb at (0.0000, 0.0000, 0.0000), Rb at (0.0000, 0.5000, 0.0000), Pr at (0.0000, 0.5000, 0.5000), Tm at (0.0000, 0.0000, 0.5000), Te at (0.0000, 0.0000, 0.2360) and Te at (0.0109, 0.5054, 0.2342).

As for the volume: 1911.8 Å³ per cell. The calculation puts the formation energy (no corrections) at -1.394 eV per atom. Its total energy is -4.382 eV/atom. The calculation puts the magnetic moment at 0.0 μB per cell.

Record 10
Computed, not measured: a geometry-optimized Rb3PrTm2Te6 structure at the PBE level of DFT.

The space group is C2/m (No. 12) and the conventional cell measures 7.881, 13.651 and 8.952 Å, with angles of 90.00, 107.10 and 90.00 degrees. The distinct sites, in fractional coordinates, are Rb at (0.000, 0.000, 0.000), Rb at (0.000, 0.337, 0.000), Pr at (0.000, 0.500, 0.500), Tm at (0.000, 0.167, 0.500), Te at (0.221, 0.000, 0.699) and Te at (0.239, 0.327, 0.700).

As for the volume: 920.5 Å³ per cell. The calculation puts the formation energy (no corrections) at -1.372 eV per atom. Its total energy is -4.328 eV/atom. The calculation puts the magnetic moment at 0.0 μB per cell.

Record 11
Computed, not measured: a geometry-optimized Rb3Pr2TmTe6 structure at the PBE level of DFT.

The space group is C2/m (No. 12) and the conventional cell measures 7.995, 13.850 and 8.975 Å, with angles of 90.00, 107.31 and 90.00 degrees. The distinct sites, in fractional coordinates, are Rb at (0.000, 0.000, 0.000), Rb at (0.000, 0.330, 0.000), Pr at (0.000, 0.166, 0.500), Tm at (0.000, 0.500, 0.500), Te at (0.228, 0.339, 0.703) and Te at (0.247, 0.000, 0.704).

As for the volume: 948.8 Å³ per cell. The calculation puts the formation energy (no corrections) at -1.390 eV per atom. Its total energy is -4.372 eV/atom. The calculation puts the magnetic moment at 0.0 μB per cell.

Record 12
Computed, not measured: a geometry-optimized Rb3Pr3TmTe8 structure at the PBE level of DFT.

The space group is R-3m (No. 166, hexagonal axes) and the conventional cell measures 9.0876, 9.0876 and 26.5747 Å, with angles of 90.00, 90.00 and 120.00 degrees. The distinct sites, in fractional coordinates, are Rb at (0.0000, 0.5000, 0.0000), Pr at (0.0000, 0.5000, 0.5000), Tm at (0.0000, 0.0000, 0.5000), Te at (0.0000, 0.0000, 0.2360) and Te at (0.0115, 0.5058, 0.2333).

As for the volume: 1901.0 Å³ per cell. The calculation puts the formation energy (no corrections) at -1.315 eV per atom. Its total energy is -4.438 eV/atom. The calculation puts the magnetic moment at 0.0 μB per cell.

Record 13
Computed, not measured: a geometry-optimized Rb4PrU3Te8 structure at the PBE level of DFT.

The space group is R-3m (No. 166, hexagonal axes) and the conventional cell measures 9.1508, 9.1508 and 25.8279 Å, with angles of 90.00, 90.00 and 120.00 degrees. The distinct sites, in fractional coordinates, are Rb at (0.0000, 0.0000, 0.0000), Rb at (0.0000, 0.5000, 0.0000), Pr at (0.0000, 0.0000, 0.5000), U at (0.0000, 0.5000, 0.5000), Te at (0.0000, 0.0000, 0.2337) and Te at (0.0059, 0.5030, 0.7652).

As for the volume: 1873.0 Å³ per cell. The calculation puts the formation energy (no corrections) at -0.972 eV per atom. Its total energy is -5.200 eV/atom. The calculation puts the magnetic moment at 27.0 μB per cell.

Record 14
Computed, not measured: a geometry-optimized Rb3PrU3Te8 structure at the PBE level of DFT.

The space group is R-3m (No. 166, hexagonal axes) and the conventional cell measures 9.0268, 9.0268 and 26.1345 Å, with angles of 90.00, 90.00 and 120.00 degrees. The distinct sites, in fractional coordinates, are Rb at (0.0000, 0.5000, 0.0000), Pr at (0.0000, 0.0000, 0.5000), U at (0.0000, 0.5000, 0.5000), Te at (0.0000, 0.0000, 0.2335) and Te at (0.0106, 0.5053, 0.7659).

As for the volume: 1844.2 Å³ per cell. The calculation puts the formation energy (no corrections) at -0.955 eV per atom. Its total energy is -5.401 eV/atom. The calculation puts the magnetic moment at 24.0 μB per cell.

Record 15
Computed, not measured: a geometry-optimized Rb2Pr2UTe6 structure at the PBE level of DFT.

The space group is C2/m (No. 12) and the conventional cell measures 7.936, 13.654 and 9.171 Å, with angles of 90.00, 107.18 and 90.00 degrees. The distinct sites, in fractional coordinates, are Rb at (0.000, 0.170, 0.000), Pr at (0.000, 0.333, 0.500), U at (0.000, 0.000, 0.500), Te at (0.231, 0.160, 0.701) and Te at (0.248, 0.500, 0.700).

As for the volume: 949.4 Å³ per cell. The calculation puts the formation energy (no corrections) at -1.188 eV per atom. Its total energy is -4.973 eV/atom. The calculation puts the magnetic moment at 4.0 μB per cell.

Record 16
Computed, not measured: a geometry-optimized Rb3PrY2Te6 structure at the PBE level of DFT.

The space group is C2/m (No. 12) and the conventional cell measures 7.932, 13.740 and 8.960 Å, with angles of 90.00, 107.19 and 90.00 degrees. The distinct sites, in fractional coordinates, are Rb at (0.000, 0.000, 0.000), Rb at (0.000, 0.336, 0.000), Pr at (0.000, 0.500, 0.500), Y at (0.000, 0.167, 0.500), Te at (0.225, 0.000, 0.701) and Te at (0.238, 0.329, 0.702).

As for the volume: 933.0 Å³ per cell. The calculation puts the formation energy (no corrections) at -1.402 eV per atom. Its total energy is -4.690 eV/atom. The calculation puts the magnetic moment at 0.0 μB per cell.

Record 17
Computed, not measured: a geometry-optimized RbPr3Y2Te6 structure at the PBE level of DFT.

The space group is C2/m (No. 12) and the conventional cell measures 19.833, 4.484 and 9.258 Å, with angles of 90.00, 103.50 and 90.00 degrees. The distinct sites, in fractional coordinates, are Rb at (0.000, 0.000, 0.000), Pr at (0.000, 0.000, 0.500), Pr at (0.157, 0.500, 0.815), Y at (0.167, 0.500, 0.341), Te at (0.008, 0.500, 0.266), Te at (0.170, 0.000, 0.575) and Te at (0.176, 0.000, 0.095).

As for the volume: 800.5 Å³ per cell. The calculation puts the formation energy (no corrections) at -1.339 eV per atom. Its total energy is -5.262 eV/atom. The calculation puts the magnetic moment at 0.0 μB per cell.

Record 18
Computed, not measured: a geometry-optimized Rb4Pr3YTe8 structure at the PBE level of DFT.

The space group is R-3m (No. 166, hexagonal axes) and the conventional cell measures 9.2860, 9.2860 and 25.7238 Å, with angles of 90.00, 90.00 and 120.00 degrees. The distinct sites, in fractional coordinates, are Rb at (0.0000, 0.0000, 0.0000), Rb at (0.0000, 0.5000, 0.0000), Pr at (0.0000, 0.5000, 0.5000), Y at (0.0000, 0.0000, 0.5000), Te at (0.0000, 0.0000, 0.2358) and Te at (0.0079, 0.5040, 0.2345).

As for the volume: 1921.0 Å³ per cell. The calculation puts the formation energy (no corrections) at -1.406 eV per atom. Its total energy is -4.519 eV/atom. The calculation puts the magnetic moment at 0.0 μB per cell.

Record 19
Computed, not measured: a geometry-optimized RbPrTl2 structure at the PBE level of DFT.

The space group is R-3m (No. 166, hexagonal axes) and the conventional cell measures 3.9674, 3.9674 and 33.1306 Å, with angles of 90.00, 90.00 and 120.00 degrees. The distinct sites, in fractional coordinates, are Rb at (0.0000, 0.0000, 0.0000), Pr at (0.0000, 0.0000, 0.5000) and Tl at (0.0000, 0.0000, 0.2415).

As for the distance to the lowest polymorph of the same formula: 0.640 eV per formula unit. As for the volume: 451.6 Å³ per cell. Its calculated formation energy is -0.035 eV per atom. Its total energy is -2.655 eV/atom. The calculation puts the magnetic moment at 0.0 μB per cell.